1.
! Mn2FeAsC, optimized geometry, DFT PBE; values from VASP
! energy relative to the elements = 0.103 eV/atom
! symmetry = P4/mmm (123)
&SYSTEM
  ibrav = 0, nat = 5, ntyp = 4
/
ATOMIC_SPECIES
C 12.01 C.upf
As 74.92 As.upf
Mn 54.94 Mn.upf
Fe 55.84 Fe.upf
ATOMIC_POSITIONS angstrom
C 0.000 0.000 0.000
As -3.212 -0.768 -0.746
Mn -0.720 -1.822 -0.259
Mn -0.994 0.619 -1.592
Fe -1.498 0.435 1.105
CELL_PARAMETERS angstrom
-1.988 1.239 -3.183
-1.440 -3.644 -0.519
-2.997 0.869 2.210

***

2.
! Pm8Pr3Sm3, optimized geometry, DFT PBE; values from VASP
! energy relative to the elements = 0.097 eV/atom
! symmetry = Immm (71)
! energy relative to the lowest polymorph listed for this composition = 0 meV per atom
&SYSTEM
  ibrav = 0, nat = 14, ntyp = 3
/
ATOMIC_SPECIES
Pm 145.00 Pm.upf
Pr 140.91 Pr.upf
Sm 150.36 Sm.upf
ATOMIC_POSITIONS angstrom
Pm 4.726 -0.739 6.022
Pm 4.936 6.886 5.109
Pm 5.484 4.900 2.250
Pm 4.178 1.247 8.881
Pm 7.574 5.374 6.676
Pm 2.088 0.772 4.455
Pm 7.220 2.745 8.435
Pm 2.442 3.402 2.696
Pr 2.842 -0.013 0.552
Pr 2.535 7.141 2.300
Pr 1.444 -0.969 7.726
Sm 4.831 3.073 5.565
Sm 5.344 1.215 2.890
Sm 4.318 4.932 8.241
CELL_PARAMETERS angstrom
5.683 -0.025 1.105
2.847 9.461 0.749
1.133 -3.289 9.277

***

3.
! Cd2TcTe, optimized geometry, DFT PBE; values from VASP
! symmetry = I4/mmm (139)
! raw formation energy = 0.470 eV per atom
&SYSTEM
  ibrav = 0, nat = 4, ntyp = 3
/
ATOMIC_SPECIES
Cd 112.41 Cd.upf
Tc 98.00 Tc.upf
Te 127.60 Te.upf
ATOMIC_POSITIONS angstrom
Cd 0.000 0.000 0.000
Cd -1.118 3.984 2.691
Tc 0.252 1.116 2.980
Te 1.238 2.805 0.889
CELL_PARAMETERS angstrom
-0.133 5.673 0.600
-2.104 2.296 4.781
3.726 -4.048 -1.512

***

4.
! ZnAgMo2, optimized geometry, DFT PBE; values from VASP
! energy relative to the elements = 0.295 eV/atom
! symmetry = P2/m (10)
&SYSTEM
  ibrav = 0, nat = 4, ntyp = 3
/
ATOMIC_SPECIES
Ag 107.87 Ag.upf
Mo 95.94 Mo.upf
Zn 65.41 Zn.upf
ATOMIC_POSITIONS angstrom
Ag 2.475 2.663 4.573
Mo 0.063 0.042 0.045
Mo 2.554 1.478 1.905
Zn -0.142 1.143 2.623
CELL_PARAMETERS angstrom
-2.901 0.766 3.296
1.768 -0.974 1.783
3.466 4.014 2.118

***

5.
! SrTaCrS2, optimized geometry, DFT PBE; values from VASP
! symmetry = P4/mmm (123)
! raw formation energy = -0.335 eV per atom
&SYSTEM
  ibrav = 0, nat = 5, ntyp = 4
/
ATOMIC_SPECIES
Sr 87.62 Sr.upf
S 32.06 S.upf
Cr 52.00 Cr.upf
Ta 180.95 Ta.upf
ATOMIC_POSITIONS angstrom
Sr 1.027 -3.101 -2.708
S 0.815 -2.198 0.644
S -1.531 -1.031 -1.582
Cr 1.743 0.128 -1.770
Ta 0.000 0.000 0.000
CELL_PARAMETERS angstrom
-3.061 -2.062 -3.164
3.486 0.255 -3.539
1.629 -4.395 1.288

***

6.
! Sc3BiN, optimized geometry, DFT PBE; values from VASP
! symmetry = P2_1/m (11)
! raw formation energy = -0.895 eV per atom
&SYSTEM
  ibrav = 0, nat = 10, ntyp = 3
/
ATOMIC_SPECIES
Sc 44.96 Sc.upf
Bi 208.98 Bi.upf
N 14.01 N.upf
ATOMIC_POSITIONS angstrom
Sc 3.536 -1.596 4.586
Sc 3.536 1.743 4.524
Sc 1.179 4.949 2.382
Sc 1.179 1.610 2.445
Sc 1.179 3.337 5.970
Sc 3.536 0.016 0.998
Bi 1.179 0.089 5.322
Bi 3.536 3.264 1.647
N 1.179 0.017 1.085
N 3.536 3.336 5.884
CELL_PARAMETERS angstrom
4.715 0.000 0.000
0.000 6.474 -0.119
0.000 -3.121 7.087

***

Uncorrected energy values (in eV/cell) by entry order: -40.16; -65.14; -13.46; -24.61; -33.09; -71.36.